Record 1
Compound: NdDy2Bi
Source: Alexandria
Functional: PBE
Structure: optimized geometry

POSCAR file:
```
NdDy2Bi
1.0
4.930 0.000 0.000
0.000 4.930 0.000
0.000 0.000 4.877
Nd Dy Bi
1 2 1
direct
0.000 0.000 0.000
0.000 0.500 0.500
0.500 0.000 0.500
0.500 0.500 0.000
```

Summary:
* energy of formation from the pure elements: -0.37 eV per atom
* M_tot: 0.000 Bohr magnetons per cell
* final energy: -4.83 eV/atom

***

Record 2
Compound: NdDyBi2
Source: Alexandria
Functional: PBE
Structure: optimized geometry

POSCAR file:
```
NdDyBi2
1.0
3.934 -2.275 0.000
3.934 2.275 0.000
-2.636 0.000 7.410
Nd Dy Bi
1 1 2
direct
0.000 0.000 0.000
0.500 0.500 0.500
0.247 0.247 0.741
0.753 0.753 0.259
```

Summary:
* energy of formation from the pure elements: -0.90 eV per atom
* M_tot: 0.000 Bohr magnetons per cell
* final energy: -5.18 eV/atom

***

Record 3
Compound: NdDy2Bi
Source: Alexandria
Functional: PBE
Structure: optimized geometry

POSCAR file:
```
NdDy2Bi
1.0
1.828 1.055 10.958
-1.828 1.055 10.958
0.000 -2.111 10.958
Nd Dy Bi
1 2 1
direct
0.000 0.000 0.000
0.245 0.245 0.245
0.755 0.755 0.755
0.500 0.500 0.500
```

Summary:
* energy of formation from the pure elements: -0.21 eV per atom
* M_tot: 0.000 Bohr magnetons per cell
* final energy: -4.67 eV/atom

***

Record 4
Compound: NdDy2Bi
Source: Alexandria
Functional: PBE
Structure: optimized geometry

POSCAR file:
```
NdDy2Bi
1.0
4.058 0.000 0.000
0.000 4.058 0.000
0.000 0.000 7.476
Nd Dy Bi
1 2 1
direct
0.000 0.000 0.000
0.500 0.500 0.276
0.500 0.500 0.724
0.000 0.000 0.500
```

Summary:
* energy of formation from the pure elements: -0.35 eV per atom
* M_tot: 0.000 Bohr magnetons per cell
* final energy: -4.81 eV/atom

***

Record 5
Compound: NdDy3Bi4
Source: Alexandria
Functional: PBE
Structure: optimized geometry

POSCAR file:
```
NdDy3Bi4
1.0
4.510 -6.378 0.000
4.510 6.378 0.000
0.000 0.000 4.513
Nd Dy Bi
1 3 4
direct
0.000 0.000 0.000
0.000 0.500 0.500
0.500 0.000 0.500
0.500 0.500 0.000
0.253 0.747 0.000
0.256 0.256 0.500
0.744 0.744 0.500
0.747 0.253 0.000
```

Summary:
* energy of formation from the pure elements: -0.88 eV per atom
* M_tot: 0.000 Bohr magnetons per cell
* final energy: -5.14 eV/atom

***

Record 6
Compound: NdDy2Bi
Source: Alexandria
Functional: PBE
Structure: optimized geometry

POSCAR file:
```
NdDy2Bi
1.0
2.076 -6.271 0.000
2.076 6.271 0.000
0.000 0.000 9.843
Nd Dy Bi
2 4 2
direct
0.054 0.946 0.750
0.946 0.054 0.250
0.364 0.636 0.538
0.364 0.636 0.962
0.636 0.364 0.038
0.636 0.364 0.462
0.236 0.764 0.250
0.764 0.236 0.750
```

Summary:
* energy of formation from the pure elements: -0.40 eV per atom
* M_tot: 1.410 Bohr magnetons per cell
* final energy: -4.87 eV/atom

***

Record 7
Compound: Nd2Dy2Bi3
Source: Alexandria
Functional: PBE
Structure: optimized geometry

POSCAR file:
```
Nd2Dy2Bi3
1.0
4.457 0.000 0.000
2.224 7.291 0.000
0.000 1.110 7.583
Nd Dy Bi
2 2 3
direct
0.119 0.263 0.389
0.881 0.737 0.611
0.376 0.749 0.128
0.624 0.251 0.872
0.000 0.500 0.000
0.255 0.989 0.755
0.745 0.011 0.245
```

Summary:
* energy of formation from the pure elements: -0.63 eV per atom
* M_tot: 0.000 Bohr magnetons per cell
* final energy: -4.97 eV/atom

***

Record 8
Compound: Nd3DyBi2
Source: Alexandria
Functional: PBE
Structure: optimized geometry

POSCAR file:
```
Nd3DyBi2
1.0
-3.602 7.466 4.045
3.602 -7.466 4.045
3.602 7.466 -4.045
Nd Dy Bi
6 2 4
direct
0.048 0.750 0.298
0.250 0.250 0.000
0.452 0.750 0.702
0.548 0.250 0.298
0.750 0.750 0.000
0.952 0.250 0.702
0.000 0.500 0.500
0.500 0.000 0.500
0.147 0.167 0.314
0.353 0.667 0.020
0.647 0.333 0.980
0.853 0.833 0.686
```

Summary:
* energy of formation from the pure elements: -0.41 eV per atom
* M_tot: 1.200 Bohr magnetons per cell
* final energy: -4.86 eV/atom

***

final energy of number 1 (NdDy2Bi)? -4.83 eV/atom